Here is an optimized crystal structure of TiP3Cl from Alexandria. Energies are from PBE.

```
TiP3Cl
1.0
4.7047 0.0000 0.0000
0.0000 4.7047 0.0000
0.0000 0.0000 4.7047
Ti P Cl
1 3 1
Direct
0.0000 0.0000 0.0000
0.0000 0.0000 0.5000
0.0000 0.5000 0.0000
0.5000 0.0000 0.0000
0.5000 0.5000 0.5000
```

Computed properties:
Symmetry: Pm-3m (221)
Formation energy without anion corrections in meV per atom: 269
Offset from the most stable computed form in eV per formula unit: 0.000
Crystal system: cubic